Dy2TlP (PBE-GGA, optimized geometry); volume = 105 Å³ per cell; distance to the lowest polymorph of the same formula = 0.0 kJ per mole of atoms; ΔH_f (0 K) = -0.972 eV per atom; total energy = -5.2168 eV per atom
1.0
3.918 0.000 0.000
-1.959 3.379 -0.008
0.000 -2.270 7.944
Dy Tl P
2 1 1
direct
0.266 0.031 0.299
0.734 0.969 0.701
0.500 0.500 0.000
0.000 0.500 0.500

Ac2Sn3IrRh4 (PBE-GGA, optimized geometry); volume = 222 Å³ per cell; ΔH_f (0 K) = -0.602 eV per atom; total energy = -6.4515 eV per atom
1.0
-0.504 4.347 -1.119
-3.417 -1.102 -2.740
-7.005 1.303 8.212
Ac Sn Ir Rh
2 3 1 4
direct
0.500 0.000 0.255
0.000 0.500 0.745
0.000 0.000 0.500
0.500 0.000 0.871
0.000 0.500 0.129
0.500 0.500 0.500
0.500 0.500 0.000
0.000 0.000 0.000
0.500 0.000 0.626
0.000 0.500 0.374